# AlAg3 (GGA-PBE, optimized geometry)
data_AlAg3
_cell_length_a 5.8259
_cell_length_b 5.8259
_cell_length_c 4.6755
_cell_angle_alpha 90.00
_cell_angle_beta 90.00
_cell_angle_gamma 120.00
_space_group_name_H-M_alt 'P 63/m m c'
_space_group_IT_number 194
_space_group_name_Hall '-P 6c 2c'
loop_
_atom_site_label
_atom_site_fract_x
_atom_site_fract_y
_atom_site_fract_z
Al1 0.3333 0.6667 0.2500
Ag1 0.1690 0.3380 0.7500
# Formation enthalpy at 0 K, kJ/mol of formula units: -11